(1)
# Si2PdW PBE relaxed
data_Si2PdW
_chemical_formula_sum 'Si8 Pd4 W4'
_cell_length_a 6.086
_cell_length_b 6.086
_cell_length_c 6.086
_cell_angle_alpha 90.00
_cell_angle_beta 90.00
_cell_angle_gamma 90.00
_space_group_name_H-M_alt 'P 1'
_space_group_IT_number 1
loop_
_space_group_symop_operation_xyz
'x,y,z'
loop_
_atom_site_label
_atom_site_type_symbol
_atom_site_fract_x
_atom_site_fract_y
_atom_site_fract_z
Si1 Si 0.250 0.250 0.250
Si2 Si 0.250 0.250 0.750
Si3 Si 0.250 0.750 0.250
Si4 Si 0.250 0.750 0.750
Si5 Si 0.750 0.250 0.250
Si6 Si 0.750 0.250 0.750
Si7 Si 0.750 0.750 0.250
Si8 Si 0.750 0.750 0.750
Pd1 Pd 0.000 0.000 0.000
Pd2 Pd 0.000 0.500 0.500
Pd3 Pd 0.500 0.000 0.500
Pd4 Pd 0.500 0.500 0.000
W1 W 0.000 0.000 0.500
W2 W 0.000 0.500 0.000
W3 W 0.500 0.000 0.000
W4 W 0.500 0.500 0.500
# Mass density, Mg/m³: 10.2
# Distance to the lowest polymorph of the same formula, meV/atom: 0
# Size of the total moment, μB/f.u.: 0.0
# Space-group type: No. 225
# DOS(E_F), states/eV/f.u.: 0.978
# Uncorrected formation energy, eV/f.u.: -0.232

(2)
# SiPdW2 PBE relaxed
data_SiPdW2
_chemical_formula_sum 'Si4 Pd4 W8'
_cell_length_a 6.991
_cell_length_b 6.991
_cell_length_c 5.316
_cell_angle_alpha 90.00
_cell_angle_beta 90.00
_cell_angle_gamma 90.00
_space_group_name_H-M_alt 'P 1'
_space_group_IT_number 1
loop_
_space_group_symop_operation_xyz
'x,y,z'
loop_
_atom_site_label
_atom_site_type_symbol
_atom_site_fract_x
_atom_site_fract_y
_atom_site_fract_z
Si1 Si 0.000 0.000 0.000
Si2 Si 0.000 0.500 0.250
Si3 Si 0.500 0.000 0.750
Si4 Si 0.500 0.500 0.500
Pd1 Pd 0.000 0.000 0.500
Pd2 Pd 0.000 0.500 0.750
Pd3 Pd 0.500 0.000 0.250
Pd4 Pd 0.500 0.500 0.000
W1 W 0.229 0.250 0.125
W2 W 0.250 0.729 0.375
W3 W 0.250 0.771 0.875
W4 W 0.271 0.250 0.625
W5 W 0.729 0.750 0.625
W6 W 0.750 0.229 0.875
W7 W 0.750 0.271 0.375
W8 W 0.771 0.750 0.125
# Mass density, Mg/m³: 12.8
# Size of the total moment, μB/f.u.: 0.0
# Space-group type: No. 122
# DOS(E_F), states/eV/f.u.: 2.538
# Uncorrected formation energy, eV/f.u.: 2.059

(3)
# Si2PdW2 PBE relaxed
data_Si2PdW2
_chemical_formula_sum 'Si4 Pd2 W4'
_cell_length_a 6.402
_cell_length_b 6.402
_cell_length_c 3.526
_cell_angle_alpha 90.00
_cell_angle_beta 90.00
_cell_angle_gamma 90.00
_space_group_name_H-M_alt 'P 1'
_space_group_IT_number 1
loop_
_space_group_symop_operation_xyz
'x,y,z'
loop_
_atom_site_label
_atom_site_type_symbol
_atom_site_fract_x
_atom_site_fract_y
_atom_site_fract_z
Si1 Si 0.132 0.368 0.000
Si2 Si 0.368 0.868 0.000
Si3 Si 0.632 0.132 0.000
Si4 Si 0.868 0.632 0.000
Pd1 Pd 0.000 0.000 0.000
Pd2 Pd 0.500 0.500 0.000
W1 W 0.169 0.669 0.500
W2 W 0.331 0.169 0.500
W3 W 0.669 0.831 0.500
W4 W 0.831 0.331 0.500
# Mass density, Mg/m³: 12.2
# Size of the total moment, μB/f.u.: 0.0
# Space-group type: No. 127
# DOS(E_F), states/eV/f.u.: 3.074
# Uncorrected formation energy, eV/f.u.: -0.286

(4)
# SiPd2W PBE relaxed
data_SiPd2W
_chemical_formula_sum 'Si4 Pd8 W4'
_cell_length_a 3.721
_cell_length_b 3.721
_cell_length_c 18.426
_cell_angle_alpha 90.00
_cell_angle_beta 90.00
_cell_angle_gamma 90.00
_space_group_name_H-M_alt 'P 1'
_space_group_IT_number 1
loop_
_space_group_symop_operation_xyz
'x,y,z'
loop_
_atom_site_label
_atom_site_type_symbol
_atom_site_fract_x
_atom_site_fract_y
_atom_site_fract_z
Si1 Si 0.000 0.000 0.000
Si2 Si 0.000 0.500 0.250
Si3 Si 0.500 0.000 0.750
Si4 Si 0.500 0.500 0.500
Pd1 Pd 0.244 0.250 0.125
Pd2 Pd 0.250 0.744 0.375
Pd3 Pd 0.250 0.756 0.875
Pd4 Pd 0.256 0.250 0.625
Pd5 Pd 0.744 0.750 0.625
Pd6 Pd 0.750 0.244 0.875
Pd7 Pd 0.750 0.256 0.375
Pd8 Pd 0.756 0.750 0.125
W1 W 0.000 0.000 0.500
W2 W 0.000 0.500 0.750
W3 W 0.500 0.000 0.250
W4 W 0.500 0.500 0.000
# Mass density, Mg/m³: 11.1
# Size of the total moment, μB/f.u.: 0.0
# Space-group type: No. 122
# DOS(E_F), states/eV/f.u.: 3.979
# Uncorrected formation energy, eV/f.u.: 0.963

Question: What is the uncorrected formation energy in the second record?
Answer: 2.059 eV/f.u.

Repeat the fourth record exactly.
# SiPd2W PBE relaxed
data_SiPd2W
_chemical_formula_sum 'Si4 Pd8 W4'
_cell_length_a 3.721
_cell_length_b 3.721
_cell_length_c 18.426
_cell_angle_alpha 90.00
_cell_angle_beta 90.00
_cell_angle_gamma 90.00
_space_group_name_H-M_alt 'P 1'
_space_group_IT_number 1
loop_
_space_group_symop_operation_xyz
'x,y,z'
loop_
_atom_site_label
_atom_site_type_symbol
_atom_site_fract_x
_atom_site_fract_y
_atom_site_fract_z
Si1 Si 0.000 0.000 0.000
Si2 Si 0.000 0.500 0.250
Si3 Si 0.500 0.000 0.750
Si4 Si 0.500 0.500 0.500
Pd1 Pd 0.244 0.250 0.125
Pd2 Pd 0.250 0.744 0.375
Pd3 Pd 0.250 0.756 0.875
Pd4 Pd 0.256 0.250 0.625
Pd5 Pd 0.744 0.750 0.625
Pd6 Pd 0.750 0.244 0.875
Pd7 Pd 0.750 0.256 0.375
Pd8 Pd 0.756 0.750 0.125
W1 W 0.000 0.000 0.500
W2 W 0.000 0.500 0.750
W3 W 0.500 0.000 0.250
W4 W 0.500 0.500 0.000
# Mass density, Mg/m³: 11.1
# Size of the total moment, μB/f.u.: 0.0
# Space-group type: No. 122
# DOS(E_F), states/eV/f.u.: 3.979
# Uncorrected formation energy, eV/f.u.: 0.963